Below is a relaxed Pr3HgS crystal, with properties calculated at the PBE level.

## Properties
**Energy above the lowest structure with this stoichiometry**: 0.0000 eV/atom

Structure (POSCAR):
```
Pr3HgS
1.0
9.3393 0.0000 0.0000
0.0000 4.0565 0.0000
0.0000 0.0000 15.7945
Pr Hg S
12 4 4
direct
0.0149 0.2500 0.1061
0.1623 0.2500 0.5322
0.1688 0.7500 0.2988
0.3312 0.2500 0.7988
0.3377 0.7500 0.0322
0.4851 0.7500 0.6061
0.5149 0.2500 0.3939
0.6623 0.2500 0.9678
0.6688 0.7500 0.2012
0.8312 0.2500 0.7012
0.8377 0.7500 0.4678
0.9851 0.7500 0.8939
0.1139 0.7500 0.6924
0.3861 0.2500 0.1924
0.6139 0.7500 0.8076
0.8861 0.2500 0.3076
0.1753 0.2500 0.9517
0.3247 0.7500 0.4517
0.6753 0.2500 0.5483
0.8247 0.7500 0.0483
```


Below is a relaxed Pr5Hg2S crystal, with properties calculated at the PBE level.

Structure (POSCAR):
```
Pr5Hg2S
1.0
12.6346 0.0000 0.0000
0.0000 8.1575 0.0000
0.0000 0.0000 9.5163
Pr Hg S
20 8 4
direct
0.9997 0.2500 0.0004
0.0003 0.7500 0.9996
0.0613 0.9999 0.3111
0.0613 0.5001 0.3111
0.2069 0.2500 0.6238
0.2068 0.7500 0.6244
0.2932 0.2500 0.1244
0.2931 0.7500 0.1238
0.4387 0.0001 0.8111
0.4387 0.4999 0.8111
0.4997 0.2500 0.4996
0.5003 0.7500 0.5004
0.5613 0.9999 0.1889
0.5613 0.5001 0.1889
0.7069 0.2500 0.8762
0.7068 0.7500 0.8756
0.7932 0.2500 0.3756
0.7931 0.7500 0.3762
0.9387 0.0001 0.6889
0.9387 0.4999 0.6889
0.1798 0.0007 0.8943
0.1798 0.4993 0.8943
0.3202 0.5007 0.3943
0.3202 0.9993 0.3943
0.6798 0.0007 0.6057
0.6798 0.4993 0.6057
0.8202 0.5007 0.1057
0.8202 0.9993 0.1057
0.0000 0.2500 0.4999
0.0000 0.7500 0.5001
0.5000 0.2500 0.0001
0.5000 0.7500 0.9999
```


no.,magnetization (μB per cell),ΔE_f (raw) (meV/atom)
1,0.000,-965
2,0.000,-722